Below is crystalline CoTe2 at its relaxed geometry, with properties calculated at the PBE-GGA level.

Properties
* final energy: -4.663 eV/atom
* raw formation energy: -0.20 eV/atom

```
3
Lattice="-1.373 3.501 -0.466 -2.139 -3.005 -0.869 -1.982 -0.088 5.182" Properties=species:S:1:pos:R:3 pbc="T T T"
Te -2.354 -0.857 0.494
Co 0.000 0.000 0.000
Te -3.140 1.265 3.353
```